## WSN2O (PBE with a Hubbard U)

Data for a geometry-optimized WSN2O structure.

Cell: 3.831 3.831 3.448 Å, 90.00 90.00 90.00°
Each line ends with the local moment (μB).
Element x y z (fractional)
S: 0.000 0.000 0.000  0.01
O: 0.000 0.000 0.500  0.07
W: 0.500 0.500 0.500  2.65
N: 0.000 0.500 0.000  -0.14
N: 0.500 0.000 0.000  -0.14

Calculated values
D(E_F) = 1.4 states/eV/cell
total energy = -5.48 eV per atom
symmetry = No. 123
crystal system = tetragonal